No. 1
# Ca2ZnInO5 | the Alexandria database | PBE | relaxed
data_Ca2ZnInO5
_cell_length_a 3.3067
_cell_length_b 14.1217
_cell_length_c 9.9046
_cell_angle_alpha 90.00
_cell_angle_beta 90.00
_cell_angle_gamma 90.00
_space_group_name_H-M_alt 'C m c 21'
_space_group_IT_number 36
loop_
_space_group_symop_operation_xyz
'x,y,z'
'-x,-y,z+1/2'
'-x,y,z'
'x,-y,z+1/2'
'x+1/2,y+1/2,z'
'-x+1/2,-y+1/2,z+1/2'
'-x+1/2,y+1/2,z'
'x+1/2,-y+1/2,z+1/2'
loop_
_atom_site_label
_atom_site_type_symbol
_atom_site_fract_x
_atom_site_fract_y
_atom_site_fract_z
_atom_site_occupancy
Ca1 Ca 0.0000 0.1142 0.0000 1
Ca2 Ca 0.0000 0.1251 0.5867 1
Zn1 Zn 0.0000 0.4872 0.7760 1
In1 In 0.0000 0.2192 0.3042 1
O1 O 0.0000 0.0642 0.3466 1
O2 O 0.0000 0.2842 0.9560 1
O3 O 0.0000 0.2939 0.6599 1
O4 O 0.0000 0.3725 0.3135 1
O5 O 0.0000 0.4994 0.0795 1
# Energy (eV/atom): -5.596
# Formation energy from raw total energies (meV per atom): -1951



No. 2
# Cs3TcPt | the Alexandria database | PBE | relaxed
data_Cs3TcPt
_cell_length_a 5.7060
_cell_length_b 5.7060
_cell_length_c 5.7060
_cell_angle_alpha 90.00
_cell_angle_beta 90.00
_cell_angle_gamma 90.00
_space_group_name_H-M_alt 'P m -3 m'
_space_group_IT_number 221
_space_group_name_Hall '-P 4 2 3'
loop_
_atom_site_label
_atom_site_type_symbol
_atom_site_fract_x
_atom_site_fract_y
_atom_site_fract_z
_atom_site_occupancy
Cs1 Cs 0.0000 0.0000 0.5000 1
Tc1 Tc 0.0000 0.0000 0.0000 1
Pt1 Pt 0.5000 0.5000 0.5000 1
# Energy (eV/atom): -2.486
# Energy of formation from the pure elements (eV/atom): 1.31



No. 3
# ScAlAu | the Alexandria database | PBE | relaxed
data_ScAlAu
_cell_length_a 3.2163
_cell_length_b 3.2163
_cell_length_c 10.7439
_cell_angle_alpha 90.00
_cell_angle_beta 90.00
_cell_angle_gamma 90.00
_space_group_name_H-M_alt 'I 4 m m'
_space_group_IT_number 107
_space_group_name_Hall 'I 4 -2'
loop_
_atom_site_label
_atom_site_type_symbol
_atom_site_fract_x
_atom_site_fract_y
_atom_site_fract_z
_atom_site_occupancy
Sc1 Sc 0.0000 0.0000 0.0000 1
Al1 Al 0.0000 0.0000 0.3188 1
Au1 Au 0.0000 0.0000 0.6768 1
# Energy (eV/atom): -5.013
# Energy of formation from the pure elements (eV/atom): -0.56



No. 4
# TbSm3Tl2 | the Alexandria database | PBE | relaxed
data_TbSm3Tl2
_cell_length_a 5.1988
_cell_length_b 10.1919
_cell_length_c 6.8478
_cell_angle_alpha 90.00
_cell_angle_beta 90.00
_cell_angle_gamma 90.00
_space_group_name_H-M_alt 'P m c 21'
_space_group_IT_number 26
loop_
_space_group_symop_operation_xyz
'x,y,z'
'-x,-y,z+1/2'
'-x,y,z'
'x,-y,z+1/2'
loop_
_atom_site_label
_atom_site_type_symbol
_atom_site_fract_x
_atom_site_fract_y
_atom_site_fract_z
_atom_site_occupancy
Tb1 Tb 0.0000 0.0408 0.0000 1
Sm1 Sm 0.0000 0.3135 0.6369 1
Sm2 Sm 0.5000 0.1818 0.2753 1
Sm3 Sm 0.5000 0.4599 0.9092 1
Tl1 Tl 0.0000 0.3627 0.1635 1
Tl2 Tl 0.5000 0.1354 0.7495 1
# Energy (eV/atom): -4.191
# Energy above the most stable polymorph in this dataset (meV/atom): 0
# Energy of formation from the pure elements (eV/atom): -0.27